## TmZn5Cu7 (GGA-PBE)

Data for TmZn5Cu7 after structural relaxation.

Summary:
M_tot = 0.000 μB per formula unit
N(E_F) = 9.9 states/eV per cell
energy relative to the elements = -127 meV/atom

Unit cell a=4.9527 b=8.6323 c=8.6120 alpha=90.00 beta=90.00 gamma=90.00
Last column: nearest neighbours and their distance in Å.
Space group Imm2 (No. 44)
Asymmetric unit:
Tm (0.0000, 0.0000, 0.0000) x2  10 Cu 3.02-3.11, 10 Zn 3.14-3.35
Zn (0.0000, 0.5000, 0.2759) x2  4 Zn 2.53, 6 Cu 2.65-2.76
Zn (0.2492, 0.2534, 0.7420) x8  3 Zn 2.47-2.53, 7 Cu 2.48-2.66
Cu (0.0000, 0.0000, 0.3503) x2  5 Cu 2.51-2.76, 4 Zn 2.64
Cu (0.0000, 0.0000, 0.6419) x2  3 Cu 2.51-2.75, 6 Zn 2.66-2.73
Cu (0.0000, 0.2819, 0.4921) x4  5 Zn 2.49-2.65, 5 Cu 2.65-2.75
Cu (0.0000, 0.3537, 0.9913) x4  4 Cu 2.53-2.74, 5 Zn 2.62-2.76
Cu (0.0000, 0.5000, 0.7094) x2  4 Zn 2.48, 6 Cu 2.65-2.76